An optimized crystal structure of Ta4Nb3Rh, computed with GGA-PBE.

a = 3.2915 Å, b = 3.2915 Å, c = 13.0847 Å
α = 90.00°, β = 90.00°, γ = 90.00°
Fractional positions:
Ta  0.0000  0.0000  0.1200
Ta  0.0000  0.0000  0.3707
Ta  0.0000  0.0000  0.6293
Ta  0.0000  0.0000  0.8800
Nb  0.5000  0.5000  0.2454
Nb  0.5000  0.5000  0.5000
Nb  0.5000  0.5000  0.7546
Rh  0.5000  0.5000  0.0000

Output
**M_tot**: 0.000 μB/atom
**E_tot**: -10.7747 eV per atom
**Formation energy**: -1.23 eV per formula unit

=====

An optimized crystal structure of AlFeH3, computed with GGA-PBE.

a = 6.6142 Å, b = 6.6142 Å, c = 4.1072 Å
α = 90.00°, β = 90.00°, γ = 155.45°
Fractional positions:
Al  0.0771  0.9229  0.7500
Al  0.9229  0.0771  0.2500
Fe  0.4186  0.5814  0.7500
Fe  0.5814  0.4186  0.2500
H  0.1447  0.8553  0.2500
H  0.3282  0.6718  0.5049
H  0.3282  0.6718  0.9951
H  0.6718  0.3282  0.0049
H  0.6718  0.3282  0.4951
H  0.8553  0.1447  0.7500

Output
**Energy above the most stable polymorph in this dataset**: 0 meV/atom
**M_tot**: 0.000 μB/atom
**E_tot**: -4.5447 eV per atom

=====

An optimized crystal structure of Y2GePt, computed with GGA-PBE.

a = 3.4979 Å, b = 3.4979 Å, c = 7.2774 Å
α = 90.00°, β = 90.00°, γ = 90.00°
Fractional positions:
Y  0.0000  0.0000  0.2422
Y  0.0000  0.0000  0.7578
Ge  0.5000  0.5000  0.5000
Pt  0.5000  0.5000  0.0000

Output
**M_tot**: 0.000 μB/atom
**E_tot**: -6.8405 eV per atom
**Formation energy**: -3.78 eV per formula unit

=====

An optimized crystal structure of Dy8HgGe3Te4, computed with GGA-PBE.

a = 8.6511 Å, b = 8.6511 Å, c = 8.6511 Å
α = 58.89°, β = 58.89°, γ = 58.89°
Fractional positions:
Dy  0.2311  0.7490  0.7490
Dy  0.2392  0.2392  0.2392
Dy  0.2510  0.2510  0.7689
Dy  0.2510  0.7689  0.2510
Dy  0.7490  0.2311  0.7490
Dy  0.7490  0.7490  0.2311
Dy  0.7608  0.7608  0.7608
Dy  0.7689  0.2510  0.2510
Hg  0.5000  0.5000  0.5000
Ge  0.0000  0.0000  0.5000
Ge  0.0000  0.5000  0.0000
Ge  0.5000  0.0000  0.0000
Te  0.0000  0.0000  0.0000
Te  0.0000  0.5000  0.5000
Te  0.5000  0.0000  0.5000
Te  0.5000  0.5000  0.0000

Output
**E_form (uncorrected)**: -1084 meV per atom
**M_tot**: 0.000 μB/atom
**E_tot**: -5.0546 eV per atom

=====

An optimized crystal structure of Ag2Sb, computed with GGA-PBE.

a = 6.7286 Å, b = 6.7286 Å, c = 6.7286 Å
α = 90.00°, β = 90.00°, γ = 90.00°
Fractional positions:
Ag  0.1291  0.1291  0.1291
Ag  0.1291  0.3709  0.6291
Ag  0.3709  0.6291  0.1291
Ag  0.3709  0.8709  0.6291
Ag  0.6291  0.1291  0.3709
Ag  0.6291  0.3709  0.8709
Ag  0.8709  0.6291  0.3709
Ag  0.8709  0.8709  0.8709
Sb  0.0000  0.0000  0.5000
Sb  0.0000  0.5000  0.0000
Sb  0.5000  0.0000  0.0000
Sb  0.5000  0.5000  0.5000

Output
**Energy above the most stable polymorph in this dataset**: 251 meV/atom
**E_form (uncorrected)**: 316 meV per atom
**M_tot**: 0.000 μB/atom
**E_tot**: -2.9588 eV per atom

=====

An optimized crystal structure of TiH2Se, computed with GGA-PBE.

a = 3.8772 Å, b = 3.8772 Å, c = 3.8772 Å
α = 60.00°, β = 60.00°, γ = 60.00°
Fractional positions:
Ti  0.0000  0.0000  0.0000
H  0.2500  0.2500  0.2500
H  0.7500  0.7500  0.7500
Se  0.5000  0.5000  0.5000

Output
**Energy above the most stable polymorph in this dataset**: 791 meV/atom
**M_tot**: 0.004 μB/atom
**E_tot**: -4.1983 eV per atom

=====

An optimized crystal structure of AgAu2, computed with GGA-PBE.

a = 12.4861 Å, b = 12.4861 Å, c = 12.4861 Å
α = 160.57°, β = 160.57°, γ = 27.61°
Fractional positions:
Ag  0.2916  0.5416  0.7500
Ag  0.4584  0.7084  0.7500
Ag  0.5416  0.2916  0.2500
Ag  0.7084  0.4584  0.2500
Au  0.0415  0.7915  0.2500
Au  0.1249  0.3749  0.7500
Au  0.2085  0.9585  0.2500
Au  0.3749  0.1249  0.2500
Au  0.6251  0.8751  0.7500
Au  0.7915  0.0415  0.7500
Au  0.8751  0.6251  0.2500
Au  0.9585  0.2085  0.7500

Output
**Energy above the most stable polymorph in this dataset**: 0 meV/atom
**M_tot**: 0.000 μB/atom
**E_tot**: -3.1762 eV per atom
**Formation energy**: -0.12 eV per formula unit

=====

An optimized crystal structure of Pm3Ga2Ru, computed with GGA-PBE.

a = 12.2146 Å, b = 4.4349 Å, c = 11.0983 Å
α = 90.00°, β = 90.00°, γ = 90.00°
Fractional positions:
Pm  0.0527  0.2500  0.1139
Pm  0.1158  0.7500  0.5540
Pm  0.2324  0.2500  0.7890
Pm  0.2676  0.7500  0.2890
Pm  0.3842  0.2500  0.0540
Pm  0.4473  0.7500  0.6139
Pm  0.5527  0.2500  0.3861
Pm  0.6158  0.7500  0.9460
Pm  0.7324  0.2500  0.7110
Pm  0.7676  0.7500  0.2110
Pm  0.8842  0.2500  0.4460
Pm  0.9473  0.7500  0.8861
Ga  0.0124  0.7500  0.2983
Ga  0.2034  0.7500  0.9908
Ga  0.2966  0.2500  0.4908
Ga  0.4876  0.2500  0.7983
Ga  0.5124  0.7500  0.2017
Ga  0.7034  0.7500  0.5092
Ga  0.7966  0.2500  0.0092
Ga  0.9876  0.2500  0.7017
Ru  0.1151  0.2500  0.3628
Ru  0.3849  0.7500  0.8628
Ru  0.6151  0.2500  0.1372
Ru  0.8849  0.7500  0.6372

Output
**M_tot**: 0.000 μB/atom
**E_tot**: -5.4194 eV per atom
**Formation energy**: -2.93 eV per formula unit

=====

An optimized crystal structure of Ac2TeI, computed with GGA-PBE.

a = 9.7996 Å, b = 9.7996 Å, c = 9.7996 Å
α = 25.35°, β = 25.35°, γ = 25.35°
Fractional positions:
Ac  0.0000  0.0000  0.0000
Ac  0.1781  0.1781  0.1781
Te  0.5884  0.5884  0.5884
I  0.4226  0.4226  0.4226

Output
**Energy above the most stable polymorph in this dataset**: 0 meV/atom
**E_form (uncorrected)**: -1163 meV per atom
**M_tot**: 0.152 μB/atom
**E_tot**: -4.3903 eV per atom

=====

An optimized crystal structure of Y2Zn2Ga3, computed with GGA-PBE.

a = 9.5514 Å, b = 9.5514 Å, c = 6.9157 Å
α = 90.00°, β = 90.00°, γ = 153.96°
Fractional positions:
Y  0.0498  0.9502  0.7500
Y  0.1571  0.8429  0.2500
Y  0.8429  0.1571  0.7500
Y  0.9502  0.0498  0.2500
Zn  0.3147  0.6853  0.0622
Zn  0.3147  0.6853  0.4378
Zn  0.6853  0.3147  0.5622
Zn  0.6853  0.3147  0.9378
Ga  0.2236  0.7764  0.7500
Ga  0.4398  0.5602  0.5707
Ga  0.4398  0.5602  0.9293
Ga  0.5602  0.4398  0.0707
Ga  0.5602  0.4398  0.4293
Ga  0.7764  0.2236  0.2500

Output
**M_tot**: 0.000 μB/atom
**E_tot**: -4.0668 eV per atom
**Formation energy**: -3.91 eV per formula unit

=====

An optimized crystal structure of Be2TeRh, computed with GGA-PBE.

a = 3.0090 Å, b = 3.3386 Å, c = 5.8466 Å
α = 90.00°, β = 90.00°, γ = 90.00°
Fractional positions:
Be  0.0000  0.0000  0.0000
Be  0.5000  0.5000  0.2154
Te  0.0000  0.0000  0.4827
Rh  0.5000  0.5000  0.8520

Output
**E_form (uncorrected)**: 112 meV per atom
**M_tot**: 0.000 μB/atom
**E_tot**: -4.3747 eV per atom

=====

An optimized crystal structure of TeRhBr2, computed with GGA-PBE.

a = 7.1712 Å, b = 7.1712 Å, c = 3.4438 Å
α = 90.00°, β = 90.00°, γ = 135.22°
Fractional positions:
Te  0.0000  0.0000  0.0000
Rh  0.5000  0.5000  0.0000
Br  0.3641  0.6359  0.5000
Br  0.6359  0.3641  0.5000

Output
**E_form (uncorrected)**: -152 meV per atom
**M_tot**: 0.000 μB/atom
**E_tot**: -3.6117 eV per atom

=====

- Which formula does entry 11 have?
  Be2TeRh

=====

- Number 6 is which compound?
  TiH2Se

=====

- Which of these has the highest M_tot?
  Ac2TeI